VASP calculation (GGA-PBE) on crystalline NdTh2Zr at its relaxed geometry.

Properties
Calculated volume = 122.0 Å³/f.u.
Energy of formation = 0.106 eV/atom
D(E_F) = 6.02 states/eV/f.u.

a = 3.5018 Å, b = 3.5018 Å, c = 9.9454 Å
α = 90.00°, β = 90.00°, γ = 90.00°
Fractional positions:
Nd 0.5000 0.5000 0.5000
Zr 0.5000 0.5000 0.0000
Th 0.0000 0.0000 0.7676
Th 0.0000 0.0000 0.2324

=====

VASP calculation (GGA-PBE) on crystalline MnBe2W at its relaxed geometry.

Properties
Calculated volume = 42.5 Å³/f.u.
Energy of formation = -0.042 eV/atom
D(E_F) = 2.19 states/eV/f.u.

a = 3.3314 Å, b = 2.9101 Å, c = 4.6153 Å
α = 71.62°, β = 90.00°, γ = 90.00°
Site moments in Bohr magnetons follow the coordinates.
Fractional positions:
Be 0.0000 0.1860 0.0026  -0.02
Be 0.5000 0.0572 0.2609  -0.03
Mn 0.0000 0.4678 0.4396  1.01
W 0.5000 0.7890 0.7969  -0.10

=====

VASP calculation (GGA-PBE) on crystalline SmErIr at its relaxed geometry.

Properties
Calculated volume = 73.7 Å³/f.u.
Energy of formation = -0.664 eV/atom
D(E_F) = 3.30 states/eV/f.u.

a = 7.4711 Å, b = 9.1488 Å, c = 8.7596 Å
α = 121.48°, β = 115.24°, γ = 90.00°
Fractional positions:
Sm 0.7530 0.0446 0.5892
Sm 0.1638 0.9554 0.4108
Sm 0.3428 0.7501 0.0003
Sm 0.3426 0.2499 0.9997
Sm 0.1639 0.4553 0.4105
Sm 0.7534 0.5447 0.5895
Er 0.0125 0.0000 0.0000
Er 0.0125 0.5000 0.0000
Er 0.4944 0.3707 0.7412
Er 0.7533 0.6293 0.2588
Er 0.7533 0.1295 0.2588
Er 0.4944 0.8705 0.7412
Ir 0.7530 0.2499 0.9998
Ir 0.7532 0.7501 0.0002
Ir 0.4201 0.1669 0.3335
Ir 0.0867 0.8331 0.6665
Ir 0.0867 0.3334 0.6665
Ir 0.4201 0.6666 0.3335

=====

VASP calculation (GGA-PBE) on crystalline RbBi6 at its relaxed geometry.

Properties
Calculated volume = 355.2 Å³/f.u.
Energy of formation = 0.045 eV/atom
D(E_F) = 5.15 states/eV/f.u.

a = 7.7276 Å, b = 7.7276 Å, c = 7.7276 Å
α = 109.47°, β = 109.47°, γ = 109.47°
Fractional positions:
Rb 0.0000 0.0000 0.0000
Bi 0.2500 0.7500 0.5000
Bi 0.5000 0.7500 0.2500
Bi 0.2500 0.5000 0.7500
Bi 0.7500 0.2500 0.5000
Bi 0.5000 0.2500 0.7500
Bi 0.7500 0.5000 0.2500

=====

VASP calculation (GGA-PBE) on crystalline NdTl2Te4As at its relaxed geometry.

Properties
Calculated volume = 277.3 Å³/f.u.
D(E_F) = 0.16 states/eV/f.u.
Energy relative to the elements, uncorrected = -0.557 eV/atom

a = 4.4359 Å, b = 8.4521 Å, c = 7.7661 Å
α = 72.22°, β = 90.00°, γ = 90.00°
Fractional positions:
Nd 0.0000 0.5000 0.5000
Tl 0.0000 0.0000 0.0000
Tl 0.5000 0.0000 0.5000
Te 0.0000 0.7024 0.7843
Te 0.0000 0.2976 0.2157
Te 0.5000 0.7127 0.2416
Te 0.5000 0.2873 0.7584
As 0.5000 0.5000 0.0000

=====

VASP calculation (GGA-PBE) on crystalline Sm3Re5N12 at its relaxed geometry.

Properties
Calculated volume = 267.1 Å³/f.u.
D(E_F) = 7.62 states/eV/f.u.
Energy relative to the elements, uncorrected = -0.514 eV/atom

a = 11.1541 Å, b = 11.1541 Å, c = 11.1541 Å
α = 109.47°, β = 109.47°, γ = 109.47°
Fractional positions:
Re 0.1250 0.3750 0.2500
Re 0.0000 0.5000 0.0000
Re 0.0000 0.0000 0.0000
Re 0.3750 0.2500 0.1250
Re 0.5000 0.0000 0.5000
Re 0.5000 0.5000 0.0000
Re 0.1250 0.7500 0.3750
Re 0.7500 0.1250 0.8750
Re 0.7500 0.6250 0.3750
Re 0.3750 0.1250 0.7500
Re 0.6250 0.8750 0.2500
Re 0.5000 0.5000 0.5000
Re 0.5000 0.0000 0.0000
Re 0.0000 0.0000 0.5000
Re 0.2500 0.3750 0.6250
Re 0.2500 0.8750 0.1250
Re 0.0000 0.5000 0.5000
Re 0.8750 0.2500 0.6250
Re 0.6250 0.7500 0.8750
Re 0.8750 0.6250 0.7500
Sm 0.7500 0.3750 0.1250
Sm 0.8750 0.7500 0.1250
Sm 0.3750 0.7500 0.6250
Sm 0.2500 0.1250 0.3750
Sm 0.8750 0.1250 0.2500
Sm 0.3750 0.6250 0.2500
Sm 0.6250 0.3750 0.7500
Sm 0.1250 0.8750 0.7500
Sm 0.7500 0.8750 0.6250
Sm 0.6250 0.2500 0.3750
Sm 0.1250 0.2500 0.8750
Sm 0.2500 0.6250 0.8750
N 0.6937 0.1140 0.0118
N 0.3181 0.5118 0.3978
N 0.9882 0.3860 0.3063
N 0.5118 0.1937 0.1140
N 0.5798 0.6937 0.6819
N 0.9882 0.6022 0.1819
N 0.3181 0.8063 0.4202
N 0.1022 0.9202 0.1140
N 0.6022 0.9882 0.6819
N 0.6937 0.5798 0.1819
N 0.8063 0.4882 0.3860
N 0.8181 0.8978 0.0118
N 0.1140 0.6937 0.5118
N 0.3860 0.3978 0.0798
N 0.0798 0.8978 0.3860
N 0.4202 0.1140 0.6022
N 0.0798 0.1819 0.1937
N 0.4882 0.6819 0.1022
N 0.8181 0.9202 0.3063
N 0.1140 0.4202 0.1022
N 0.3860 0.9882 0.8063
N 0.6022 0.6140 0.4202
N 0.8978 0.8181 0.5118
N 0.8063 0.3181 0.9202
N 0.3978 0.3860 0.5798
N 0.1022 0.1819 0.4882
N 0.1937 0.6819 0.0798
N 0.1819 0.0798 0.6937
N 0.6140 0.0118 0.1937
N 0.8860 0.5798 0.8978
N 0.5118 0.3181 0.8978
N 0.5798 0.8860 0.3978
N 0.9202 0.8181 0.8063
N 0.9202 0.1022 0.6140
N 0.8860 0.3063 0.4882
N 0.1819 0.1022 0.9882
N 0.6140 0.6022 0.9202
N 0.3978 0.0118 0.3181
N 0.3063 0.4202 0.8181
N 0.1937 0.5118 0.6140
N 0.8978 0.0798 0.8860
N 0.6819 0.1937 0.5798
N 0.4882 0.8063 0.8860
N 0.0118 0.3978 0.8181
N 0.4202 0.3063 0.3181
N 0.0118 0.6140 0.6937
N 0.6819 0.4882 0.6022
N 0.3063 0.8860 0.9882